6
Lattice="3.791 -2.266 0.000 3.791 2.266 0.000 -3.057 0.000 6.955" Properties=species:S:1:pos:R:3 comment="BeSbAu (PBE-GGA, relaxed)" space_group="No. 8" e_form_raw_kj_per_mol_fu=13.7 pbc="T T T"
Be 3.791 1.135 0.000
Be 3.791 -1.135 0.000
Sb -0.744 0.000 3.326
Sb 2.640 0.000 5.551
Au 1.873 0.000 0.830
Au 4.359 0.000 2.159



8
Lattice="-4.510 4.510 2.432 4.510 -4.510 2.432 4.510 4.510 -2.432" Properties=species:S:1:pos:R:3 comment="ScGa2Cl (PBE-GGA, relaxed)" space_group="No. 122" e_form_raw_kj_per_mol_fu=-116.5 polymorph_energy_mev_per_atom=0 pbc="T T T"
Sc 0.000 0.000 0.000
Sc 0.000 4.510 1.216
Ga 2.255 1.815 -0.608
Ga 2.696 -2.255 3.040
Ga 2.255 2.696 1.824
Ga 1.815 6.765 0.608
Cl 4.510 0.000 1.216
Cl 0.000 0.000 2.432



5
Lattice="6.464 0.000 0.000 0.000 6.464 0.000 0.000 0.000 4.160" Properties=species:S:1:pos:R:3 comment="LaFeI2N (PBE-GGA, relaxed)" space_group="No. 123" e_form_raw_kj_per_mol_fu=139.1 polymorph_energy_mev_per_atom=465 pbc="T T T"
La 0.000 0.000 0.000
Fe 3.232 3.232 2.080
I 0.000 3.232 0.000
I 3.232 0.000 0.000
N 0.000 0.000 2.080



4
Lattice="-1.940 1.940 3.882 1.940 -1.940 3.882 1.940 1.940 -3.882" Properties=species:S:1:pos:R:3 comment="ReTc2Ir (PBE-GGA, relaxed)" space_group="No. 119" ef_ev_per_atom=-0.09 polymorph_energy_mev_per_atom=85 pbc="T T T"
Re 0.000 0.000 0.000
Tc 1.940 0.000 1.941
Tc 0.000 0.000 3.882
Ir 0.000 1.940 1.941



4
Lattice="-2.062 2.128 7.383 2.062 -2.128 7.383 2.062 2.128 -7.383" Properties=species:S:1:pos:R:3 comment="TlSb2Cl (PBE-GGA, relaxed)" space_group="No. 71" e_form_raw_kj_per_mol_fu=-77.6 polymorph_energy_mev_per_atom=203 pbc="T T T"
Tl 0.000 0.000 0.000
Sb 2.062 0.000 3.245
Sb 0.000 2.128 4.139
Cl 0.000 0.000 7.383



4
Lattice="0.000 3.692 3.692 3.692 0.000 3.692 3.692 3.692 0.000" Properties=species:S:1:pos:R:3 comment="CaCr2Cl (PBE-GGA, relaxed)" space_group="No. 225" e_form_raw_kj_per_mol_fu=314.6 polymorph_energy_mev_per_atom=965 pbc="T T T"
Ca 0.000 0.000 0.000
Cr 1.846 1.846 1.846
Cr 5.537 5.537 5.537
Cl 3.692 3.692 3.692



12
Lattice="7.592 0.000 0.000 0.000 7.592 0.000 0.000 0.000 6.337" Properties=species:S:1:pos:R:3 comment="Th4GaBi (PBE-GGA, relaxed)" space_group="No. 124" ef_ev_per_atom=-0.37 polymorph_energy_mev_per_atom=0 pbc="T T T"
Th 1.110 2.510 0.000
Th 1.110 5.082 3.169
Th 2.510 1.110 3.169
Th 2.510 6.482 0.000
Th 5.082 1.110 0.000
Th 5.082 6.482 3.169
Th 6.482 2.510 3.169
Th 6.482 5.082 0.000
Ga 0.000 0.000 1.584
Ga 0.000 0.000 4.753
Bi 3.796 3.796 1.584
Bi 3.796 3.796 4.753



10
Lattice="-3.821 3.821 5.393 3.821 -3.821 5.393 3.821 3.821 -5.393" Properties=species:S:1:pos:R:3 comment="Rb2CdRhBr6 (PBE-GGA, relaxed)" space_group="No. 139" e_form_raw_kj_per_mol_fu=-944.4 pbc="T T T"
Rb 3.821 0.000 2.697
Rb 0.000 3.821 2.697
Cd 0.000 0.000 0.000
Rh 0.000 0.000 5.393
Br 0.000 0.000 2.822
Br 2.003 2.003 0.000
Br 1.818 -1.818 5.393
Br -1.818 1.818 5.393
Br 0.000 0.000 7.964
Br 1.818 1.818 5.393



14
Lattice="5.063 0.000 0.000 0.000 5.358 0.000 -0.866 0.000 7.084" Properties=species:S:1:pos:R:3 comment="Cd2BO4 (PBE-GGA, relaxed)" space_group="No. 11" e_form_raw_kj_per_mol_fu=-899.1 polymorph_energy_mev_per_atom=129 pbc="T T T"
Cd 0.583 1.339 3.128
Cd 0.188 1.339 6.799
Cd 4.009 4.018 0.285
Cd 3.614 4.018 3.957
B 1.236 4.018 2.015
B 2.961 1.339 5.069
O 0.668 2.798 1.369
O 0.668 5.239 1.369
O 0.787 4.018 3.415
O 1.506 1.339 5.121
O 2.691 4.018 1.963
O 3.410 1.339 3.670
O 3.529 0.119 5.716
O 3.529 2.560 5.716



12
Lattice="3.782 -6.559 0.000 3.782 6.559 0.000 -2.563 0.000 7.349" Properties=species:S:1:pos:R:3 comment="Ac6AsIr2S3 (PBE-GGA, relaxed)" space_group="No. 12" e_form_raw_kj_per_mol_fu=-1666.6 pbc="T T T"
Ac -0.079 2.285 5.607
Ac 1.140 0.000 1.752
Ac -0.079 -2.285 5.607
Ac 5.078 2.285 1.742
Ac 3.859 0.000 5.597
Ac 5.078 -2.285 1.742
As 3.782 0.000 0.000
Ir 3.782 4.362 0.000
Ir 3.782 -4.362 0.000
S -1.282 0.000 3.675
S 2.500 2.107 3.675
S 2.500 -2.107 3.675



5
Lattice="5.187 0.000 0.000 0.000 5.187 0.000 0.000 0.000 5.248" Properties=species:S:1:pos:R:3 comment="TlTcIrSe2 (PBE-GGA, relaxed)" space_group="No. 123" e_form_raw_kj_per_mol_fu=1046.1 pbc="T T T"
Tl 0.000 0.000 0.000
Tc 0.000 0.000 2.624
Ir 2.594 2.594 2.624
Se 0.000 2.594 0.000
Se 2.594 0.000 0.000



20
Lattice="5.117 -4.772 0.000 5.117 4.772 0.000 -1.992 0.000 5.136" Properties=species:S:1:pos:R:3 comment="ZnGeO3 (PBE-GGA, relaxed)" space_group="No. 15" e_form_raw_kj_per_mol_fu=-745.3 pbc="T T T"
Zn 3.623 3.714 3.852
Zn 4.619 2.588 1.284
Zn 3.623 -2.588 3.852
Zn 4.619 -3.714 1.284
Ge 1.592 0.831 3.892
Ge 2.588 -0.831 1.324
Ge 5.653 0.831 3.811
Ge 6.649 -0.831 1.243
O -0.070 0.807 3.251
O 2.132 2.365 4.557
O 0.926 -0.807 0.683
O 2.715 0.441 2.568
O 5.113 2.365 3.147
O 3.711 -0.441 0.000
O 4.530 0.441 5.135
O 3.128 -2.365 1.989
O 5.527 -0.441 2.568
O 7.315 0.807 4.453
O 6.110 -2.365 0.579
O 8.311 -0.807 1.885



20
Lattice="0.000 5.883 5.883 5.883 0.000 5.883 5.883 5.883 0.000" Properties=species:S:1:pos:R:3 comment="Sc3AlO (PBE-GGA, relaxed)" space_group="No. 227" e_form_raw_kj_per_mol_fu=-472.4 pbc="T T T"
Sc 4.412 4.412 0.764
Sc 4.412 0.764 4.412
Sc 8.061 4.412 4.412
Sc 7.354 7.354 3.706
Sc 7.354 3.706 7.354
Sc 11.002 7.354 7.354
Sc 0.764 4.412 4.412
Sc 4.412 8.061 4.412
Sc 4.412 4.412 8.061
Sc 3.706 7.354 7.354
Sc 7.354 11.002 7.354
Sc 7.354 7.354 11.002
Al 5.883 2.942 2.942
Al 2.942 5.883 2.942
Al 2.942 2.942 5.883
Al 5.883 5.883 5.883
O 0.000 0.000 0.000
O 2.942 2.942 0.000
O 2.942 0.000 2.942
O 0.000 2.942 2.942



5
Lattice="6.084 0.000 0.000 0.000 6.084 0.000 0.000 0.000 6.084" Properties=species:S:1:pos:R:3 comment="CsTiIn3 (PBE-GGA, relaxed)" space_group="No. 221" ef_ev_per_atom=1.73 polymorph_energy_mev_per_atom=1547 pbc="T T T"
Cs 0.000 0.000 0.000
Ti 3.042 3.042 3.042
In 0.000 0.000 3.042
In 0.000 3.042 0.000
In 3.042 0.000 0.000



7
Lattice="-2.004 2.241 9.375 2.004 -2.241 9.375 2.004 2.241 -9.375" Properties=species:S:1:pos:R:3 comment="Sr2PmSi4 (PBE-GGA, relaxed)" space_group="No. 71" e_form_raw_kj_per_mol_fu=-338.8 pbc="T T T"
Sr 0.000 0.000 3.431
Sr 0.000 0.000 15.318
Pm 2.004 0.000 0.000
Si 0.000 0.000 6.885
Si 2.004 0.000 8.201
Si 0.000 2.241 1.173
Si 0.000 0.000 11.865



10
Lattice="4.091 0.000 0.000 0.000 4.091 0.000 0.000 0.000 9.939" Properties=species:S:1:pos:R:3 comment="Ac2Be4Si3Ni (PBE-GGA, relaxed)" space_group="No. 115" e_form_raw_kj_per_mol_fu=-287.0 pbc="T T T"
Ac 0.000 2.046 2.486
Ac 2.046 0.000 7.453
Be 0.000 0.000 0.000
Be 0.000 2.046 6.099
Be 2.046 0.000 3.840
Be 2.046 2.046 0.000
Si 0.000 2.046 8.706
Si 2.046 0.000 1.233
Si 2.046 2.046 4.970
Ni 0.000 0.000 4.970



16
Lattice="5.719 0.000 0.000 0.000 5.719 0.000 0.000 0.000 7.999" Properties=species:S:1:pos:R:3 comment="ErTmPd14 (PBE-GGA, relaxed)" space_group="No. 123" ef_ev_per_atom=-0.43 pbc="T T T"
Er 0.000 0.000 0.000
Tm 2.860 2.860 0.000
Pd 0.000 0.000 4.000
Pd 0.000 2.860 0.000
Pd 0.000 2.860 4.000
Pd 1.431 1.431 2.052
Pd 1.431 1.431 5.947
Pd 1.431 4.288 2.052
Pd 1.431 4.288 5.947
Pd 2.860 0.000 0.000
Pd 2.860 0.000 4.000
Pd 2.860 2.860 4.000
Pd 4.288 1.431 2.052
Pd 4.288 1.431 5.947
Pd 4.288 4.288 2.052
Pd 4.288 4.288 5.947



4
Lattice="3.322 0.000 0.000 0.000 3.322 0.000 0.000 0.000 7.902" Properties=species:S:1:pos:R:3 comment="MgMn2Br (PBE-GGA, relaxed)" space_group="No. 99" e_form_raw_kj_per_mol_fu=85.9 polymorph_energy_mev_per_atom=0 pbc="T T T"
Mg 0.000 0.000 0.000
Mn 0.000 0.000 3.044
Mn 1.661 1.661 1.701
Br 1.661 1.661 6.324



4
Lattice="5.034 -1.613 0.000 5.034 1.613 0.000 -2.263 0.000 6.325" Properties=species:S:1:pos:R:3 comment="In2ReTe (PBE-GGA, relaxed)" space_group="No. 8" e_form_raw_kj_per_mol_fu=122.4 pbc="T T T"
In 0.000 0.000 0.000
In 0.382 0.000 4.277
Re 7.326 0.000 0.219
Te 2.629 0.000 2.295



4
Lattice="0.000 3.442 3.442 3.442 0.000 3.442 3.442 3.442 0.000" Properties=species:S:1:pos:R:3 comment="GdHoCuRu (PBE-GGA, relaxed)" space_group="No. 216" ef_ev_per_atom=-0.32 pbc="T T T"
Gd 0.000 0.000 0.000
Ho 3.442 3.442 3.442
Cu 1.721 1.721 1.721
Ru 5.163 5.163 5.163



In eV/cell, the energy values for the records above are, in order, -21.967, -30.878, -23.374, -42.418, -13.262, -19.834, -77.577, -30.027, -75.318, -76.678, -17.720, -113.962, -130.364, -8.338, -33.317, -48.146, -88.669, -20.716, -19.798, -33.292.
In states/eV per cell, the Fermi-level density of states values for the records above are, in order, 1.81, 2.05, 6.52, 3.49, 2.22, 4.35, 8.60, 2.05, 6.60, 8.07, 6.87, 0.00, 29.89, 10.51, 2.64, 5.34, 24.22, 3.26, 2.15, 2.94.